Record 1
{
  "formula": "LiTiCo4",
  "functional": "GGA-PBE",
  "state": "relaxed",
  "formation_enthalpy_0k_ev_per_atom": -0.0923,
  "lattice_angstrom": [[0.000, 3.328, 3.328], [3.328, 0.000, 3.328], [3.328, 3.328, 0.000]],
  "species": ["Li", "Ti", "Co", "Co", "Co", "Co"],
  "fractional_positions": [[0.000, 0.000, 0.000], [0.750, 0.750, 0.750], [0.375, 0.375, 0.375], [0.375, 0.375, 0.875], [0.375, 0.875, 0.375], [0.875, 0.375, 0.375]]
}

=====

Record 2
{
  "formula": "PrPaH",
  "functional": "GGA-PBE",
  "state": "relaxed",
  "dft_energy_ev_per_fu": -17.36,
  "lattice_angstrom": [[6.519, 0.000, 0.000], [0.000, 5.483, 0.000], [0.000, 0.000, 7.254]],
  "species": ["Pr", "Pr", "Pr", "Pr", "Pa", "Pa", "Pa", "Pa", "H", "H", "H", "H"],
  "fractional_positions": [[0.131, 0.250, 0.126], [0.369, 0.750, 0.626], [0.631, 0.250, 0.374], [0.869, 0.750, 0.874], [0.050, 0.250, 0.608], [0.450, 0.750, 0.108], [0.550, 0.250, 0.892], [0.950, 0.750, 0.392], [0.108, 0.750, 0.117], [0.392, 0.250, 0.617], [0.608, 0.750, 0.383], [0.892, 0.250, 0.883]]
}

=====

Record 3
{
  "formula": "Tm3Sc3In2Fe",
  "functional": "GGA-PBE",
  "state": "relaxed",
  "formation_enthalpy_0k_ev_per_atom": -0.2745,
  "lattice_angstrom": [[8.245, 0.000, 0.000], [-4.122, 7.140, 0.000], [0.000, 0.000, 3.717]],
  "species": ["Tm", "Tm", "Tm", "Sc", "Sc", "Sc", "In", "In", "Fe"],
  "fractional_positions": [[0.000, 0.383, 0.000], [0.383, 0.000, 0.000], [0.617, 0.617, 0.000], [0.000, 0.771, 0.500], [0.229, 0.229, 0.500], [0.771, 0.000, 0.500], [0.333, 0.667, 0.500], [0.667, 0.333, 0.500], [0.000, 0.000, 0.000]]
}

=====

Record 4
{
  "formula": "La2InGa4Ag3",
  "functional": "GGA-PBE",
  "state": "relaxed",
  "formation_enthalpy_0k_ev_per_atom": -0.4242,
  "lattice_angstrom": [[4.434, 0.000, 0.000], [0.000, 4.434, 0.000], [0.000, 0.000, 11.229]],
  "species": ["La", "La", "In", "Ga", "Ga", "Ga", "Ga", "Ag", "Ag", "Ag"],
  "fractional_positions": [[0.000, 0.500, 0.244], [0.500, 0.000, 0.756], [0.000, 0.000, 0.500], [0.000, 0.000, 0.000], [0.000, 0.500, 0.646], [0.500, 0.000, 0.354], [0.500, 0.500, 0.000], [0.000, 0.500, 0.872], [0.500, 0.000, 0.128], [0.500, 0.500, 0.500]]
}

=====

Record 5
{
  "formula": "CeNdCu2",
  "functional": "GGA-PBE",
  "state": "relaxed",
  "formation_enthalpy_0k_ev_per_atom": -0.0919,
  "lattice_angstrom": [[1.937, -10.953, 0.000], [1.937, 10.953, 0.000], [0.000, 0.000, 4.187]],
  "species": ["Ce", "Ce", "Nd", "Nd", "Cu", "Cu", "Cu", "Cu"],
  "fractional_positions": [[0.043, 0.957, 0.750], [0.957, 0.043, 0.250], [0.307, 0.693, 0.250], [0.693, 0.307, 0.750], [0.150, 0.850, 0.250], [0.424, 0.576, 0.750], [0.576, 0.424, 0.250], [0.850, 0.150, 0.750]]
}

=====

Record 6
{
  "formula": "K4Pr3UTe8",
  "functional": "GGA-PBE",
  "state": "relaxed",
  "formation_energy_uncorrected_ev_per_atom": -1.2709,
  "lattice_angstrom": [[4.623, 2.669, 8.272], [-4.623, 2.669, 8.272], [0.000, -5.339, 8.272]],
  "species": ["K", "K", "K", "K", "Pr", "Pr", "Pr", "U", "Te", "Te", "Te", "Te", "Te", "Te", "Te", "Te"],
  "fractional_positions": [[0.000, 0.000, 0.000], [0.000, 0.500, 0.500], [0.500, 0.000, 0.500], [0.500, 0.500, 0.000], [0.000, 0.000, 0.500], [0.000, 0.500, 0.000], [0.500, 0.000, 0.000], [0.500, 0.500, 0.500], [0.239, 0.239, 0.239], [0.243, 0.736, 0.736], [0.264, 0.264, 0.757], [0.264, 0.757, 0.264], [0.736, 0.243, 0.736], [0.736, 0.736, 0.243], [0.757, 0.264, 0.264], [0.761, 0.761, 0.761]]
}

=====

What is the formula in the second record? PrPaH